Er5Ge3 | PBE-GGA | relaxed

uncorrected energy = -5.314 eV per atom
energy above the most stable polymorph in this dataset = 76.7 meV per atom
energy relative to the elements = -0.731 eV per atom
total moment = 0.00 μB per formula unit
SG = I4/mcm

Lattice parameters (Å, degrees): 7.6862 7.6862 8.5343 116.76 116.76 90.00
Last column: nearest neighbours and their distance in Å.
Fractional positions:
Er 0.3056 0.4863 0.2919  5 Ge 2.88-3.20
Er 0.5137 0.0137 0.7081  5 Ge 2.88-3.20
Er 0.4863 0.9863 0.2919  5 Ge 2.88-3.20
Er 0.1944 0.6944 0.7081  5 Ge 2.88-3.20
Er 0.9863 0.8056 0.2919  5 Ge 2.88-3.20
Er 0.0137 0.1944 0.7081  5 Ge 2.88-3.20
Er 0.0000 0.0000 0.0000  6 Ge 2.96-3.29
Er 0.6944 0.5137 0.7081  5 Ge 2.88-3.20
Er 0.8056 0.3056 0.2919  5 Ge 2.88-3.20
Er 0.5000 0.5000 0.0000  6 Ge 2.96-3.29
Ge 0.3574 0.1426 0.0000  8 Er 2.88-3.02, 1 Ge 3.10
Ge 0.7500 0.7500 0.5000  10 Er 3.20-3.29
Ge 0.2500 0.2500 0.5000  10 Er 3.20-3.29
Ge 0.8574 0.3574 0.0000  8 Er 2.88-3.02, 1 Ge 3.10
Ge 0.6426 0.8574 0.0000  8 Er 2.88-3.02, 1 Ge 3.10
Ge 0.1426 0.6426 0.0000  8 Er 2.88-3.02, 1 Ge 3.10